(1)
# Zr2AlS

Crystalline Zr2AlS at its relaxed geometry (PBE-GGA, Alexandria via LeMat-Bulk).

Calculated values
- Calculated density: 5.3 g cm⁻³
- N(E_F): 5.61 states/eV/f.u.
- Formation energy (no corrections): -0.37 eV/atom
- Symmetry: No. 225
- Total magnetization: 0.000 μB/atom
- E above lowest polymorph: 496 meV/atom

a = 4.7410 Å, b = 4.7410 Å, c = 4.7410 Å
α = 60.00°, β = 60.00°, γ = 60.00°
Closest atoms and distances in Å follow each position.
Fractional positions:
Zr  0.2500  0.2500  0.2500  4 S 2.90, 4 Al 2.90
Zr  0.7500  0.7500  0.7500  4 Al 2.90, 4 S 2.90
Al  0.0000  0.0000  0.0000  8 Zr 2.90
S  0.5000  0.5000  0.5000  8 Zr 2.90

***

(2)
# Zr2AlS4

Crystalline Zr2AlS4 at its relaxed geometry (PBE-GGA, Alexandria via LeMat-Bulk).

Calculated values
- Calculated density: 4.3 g cm⁻³
- N(E_F): 2.55 states/eV/f.u.
- Formation energy (no corrections): -1.31 eV/atom
- Symmetry: No. 12
- Total magnetization: 0.000 μB/atom

a = 7.0431 Å, b = 7.0431 Å, c = 6.1346 Å
α = 115.61°, β = 115.61°, γ = 28.89°
Closest atoms and distances in Å follow each position.
Fractional positions:
Zr  0.2420  0.2420  0.2577  6 S 2.58-2.70
Zr  0.7580  0.7580  0.7423  6 S 2.58-2.70
Al  0.5000  0.5000  0.5000  6 S 2.39-2.48
S  0.1164  0.1164  0.7803  2 Al 2.48, 3 Zr 2.65-2.70
S  0.3896  0.3896  0.7121  1 Al 2.39, 3 Zr 2.58-2.61
S  0.6104  0.6104  0.2879  1 Al 2.39, 3 Zr 2.58-2.61
S  0.8836  0.8836  0.2197  2 Al 2.48, 3 Zr 2.65-2.70

***

(3)
# ZrAlS3

Crystalline ZrAlS3 at its relaxed geometry (PBE-GGA, Alexandria via LeMat-Bulk).

Calculated values
- Calculated density: 2.8 g cm⁻³
- N(E_F): 3.97 states/eV/f.u.
- Formation energy (no corrections): -0.50 eV/atom
- Symmetry: No. 221
- Total magnetization: 0.000 μB/atom
- E above lowest polymorph: 711 meV/atom

a = 5.0030 Å, b = 5.0030 Å, c = 5.0030 Å
α = 90.00°, β = 90.00°, γ = 90.00°
Closest atoms and distances in Å follow each position.
Fractional positions:
Zr  0.0000  0.0000  0.0000  6 S 2.50
Al  0.5000  0.5000  0.5000  12 S 3.54
S  0.0000  0.0000  0.5000  2 Zr 2.50
S  0.0000  0.5000  0.0000  2 Zr 2.50
S  0.5000  0.0000  0.0000  2 Zr 2.50

***

(4)
# ZrAl2S

Crystalline ZrAl2S at its relaxed geometry (PBE-GGA, Alexandria via LeMat-Bulk).

Calculated values
- Calculated density: 4.0 g cm⁻³
- N(E_F): 2.76 states/eV/f.u.
- Formation energy (no corrections): -0.23 eV/atom
- Symmetry: No. 122
- Total magnetization: 0.000 μB/atom

a = 5.8760 Å, b = 5.8760 Å, c = 5.8760 Å
α = 101.92°, β = 101.92°, γ = 125.94°
Closest atoms and distances in Å follow each position.
Fractional positions:
Zr  0.0000  0.0000  0.0000  2 S 2.67, 4 Al 2.93
Zr  0.7500  0.2500  0.5000  2 S 2.67, 4 Al 2.93
Al  0.1692  0.6250  0.0442  2 S 2.49, 2 Al 2.75
Al  0.3750  0.4192  0.5442  2 S 2.49, 2 Al 2.75
Al  0.5808  0.1250  0.9558  2 S 2.49, 2 Al 2.75
Al  0.8750  0.8308  0.4558  2 S 2.49, 2 Al 2.75
S  0.2500  0.7500  0.5000  4 Al 2.49, 2 Zr 2.67
S  0.5000  0.5000  0.0000  4 Al 2.49, 2 Zr 2.67

***

(5)
# ZrAlS2

Crystalline ZrAlS2 at its relaxed geometry (PBE-GGA, Alexandria via LeMat-Bulk).

Calculated values
- Calculated density: 3.5 g cm⁻³
- N(E_F): 2.56 states/eV/f.u.
- Formation energy (no corrections): -0.66 eV/atom
- Symmetry: No. 122
- Total magnetization: 0.000 μB/atom

a = 6.6227 Å, b = 6.6227 Å, c = 6.6227 Å
α = 128.72°, β = 128.72°, γ = 75.46°
Closest atoms and distances in Å follow each position.
Fractional positions:
Zr  0.0000  0.0000  0.0000  4 S 2.55
Zr  0.7500  0.2500  0.5000  4 S 2.55
Al  0.2500  0.7500  0.5000  4 S 2.29
Al  0.5000  0.5000  0.0000  4 S 2.29
S  0.1639  0.6250  0.0389  2 Al 2.29, 2 Zr 2.55
S  0.3750  0.4139  0.5389  2 Al 2.29, 2 Zr 2.55
S  0.5861  0.1250  0.9611  2 Al 2.29, 2 Zr 2.55
S  0.8750  0.8361  0.4611  2 Al 2.29, 2 Zr 2.55

***

(6)
# Zr2AlS

Crystalline Zr2AlS at its relaxed geometry (PBE-GGA, Alexandria via LeMat-Bulk).

Calculated values
- Calculated density: 5.0 g cm⁻³
- N(E_F): 2.51 states/eV/f.u.
- Formation energy (no corrections): -0.81 eV/atom
- Symmetry: No. 166
- Total magnetization: 0.000 μB/atom
- E above lowest polymorph: 58 meV/atom

a = 7.3991 Å, b = 7.3991 Å, c = 7.3991 Å
α = 28.12°, β = 28.12°, γ = 28.12°
Closest atoms and distances in Å follow each position.
Fractional positions:
Zr  0.2347  0.2347  0.2347  3 S 2.53
Zr  0.7653  0.7653  0.7653  3 S 2.53
Al  0.0000  0.0000  0.0000  6 Zr 2.95
S  0.5000  0.5000  0.5000  6 Zr 2.53